(1)
Material: KCdFeCl5
Method: DFT, GGA-PBE
State: relaxed

The structure in POSCAR format:
```
KCdFeCl5
1.0
-0.414 7.370 -0.559
-6.927 -2.553 -0.551
2.099 -1.370 9.113
K Cl Fe Cd
2 10 2 2
Direct
0.655 0.345 0.750
0.345 0.655 0.250
0.911 0.322 0.119
0.322 0.911 0.619
0.089 0.678 0.881
0.917 0.083 0.750
0.748 0.611 0.433
0.083 0.917 0.250
0.389 0.252 0.067
0.611 0.748 0.933
0.678 0.089 0.381
0.252 0.389 0.567
0.684 0.316 0.250
0.316 0.684 0.750
0.000 0.000 0.000
0.000 0.000 0.500
```

(2)
Material: KCdFe2Cl8
Method: DFT, GGA-PBE
State: relaxed

The structure in POSCAR format:
```
KCdFe2Cl8
1.0
6.432 -0.392 0.071
2.619 5.888 0.071
0.566 0.343 9.302
Fe K Cl Cd
2 1 8 1
Direct
0.622 0.622 0.218
0.378 0.378 0.782
0.000 0.000 0.500
0.743 0.243 0.212
0.750 0.750 0.013
0.257 0.757 0.788
0.704 0.704 0.427
0.296 0.296 0.573
0.757 0.257 0.788
0.243 0.743 0.212
0.250 0.250 0.987
0.000 0.000 0.000
```

(3)
Material: Li2CdFeCl6
Method: DFT, GGA-PBE
State: relaxed

The structure in POSCAR format:
```
Li2CdFeCl6
1.0
6.434 0.000 0.001
3.217 5.572 0.000
3.217 1.858 5.870
Cl Li Cd Fe
6 2 1 1
Direct
0.589 0.236 0.245
0.721 0.115 0.760
0.930 0.589 0.245
0.115 0.403 0.760
0.403 0.721 0.760
0.236 0.930 0.245
0.517 0.517 0.450
0.011 0.011 0.966
0.817 0.817 0.549
0.322 0.322 0.035
```

(4)
Material: Li2CdFeCl
Method: DFT, GGA-PBE
State: relaxed

The structure in POSCAR format:
```
Li2CdFeCl
1.0
5.172 0.000 0.000
0.000 5.506 0.000
0.000 0.000 5.172
Cd Li Cl Fe
1 2 1 1
Direct
0.000 0.000 0.000
0.000 0.000 0.500
0.500 0.000 0.000
0.000 0.500 0.000
0.500 0.500 0.500
```

DOS(E_F) readings, ordered: 11.8, 8.2, 6.6, 7.9 states/eV per cell
Total energy readings, ordered: -3.625, -3.855, -3.646, -2.332 eV per atom